Entry 1:
# Cu5Ag4, relaxed, DFT PBE-GGA
data_Cu5Ag4
_chemical_formula_sum 'Cu10 Ag8'
_cell_length_a 14.117
_cell_length_b 2.803
_cell_length_c 6.662
_cell_angle_alpha 90.00
_cell_angle_beta 92.75
_cell_angle_gamma 90.00
_space_group_name_H-M_alt 'C 1 2/m 1'
_space_group_IT_number 12
_space_group_name_Hall '-C 2y'
loop_
_atom_site_label
_atom_site_fract_x
_atom_site_fract_y
_atom_site_fract_z
_atom_site_occupancy
Cu1 0.000 0.000 0.000 1
Cu2 0.110 0.000 0.683 1
Cu3 0.159 0.500 0.991 1
Ag1 0.054 0.500 0.331 1
Ag2 0.228 0.000 0.316 1
# Uncorrected energy = -3.220 eV/atom
# Relative energy among the computed polymorphs = 0.54 eV/f.u.
# ΔH_f (0 K) = 0.90 eV per formula unit
# Density = 9.4 g cm⁻³



Entry 2:
# GdY2In3Ir2Pd, relaxed, DFT PBE-GGA
data_GdY2In3Ir2Pd
_chemical_formula_sum 'Gd2 Y4 In6 Ir4 Pd2'
_cell_length_a 3.895
_cell_length_b 13.189
_cell_length_c 7.634
_cell_angle_alpha 90.00
_cell_angle_beta 90.00
_cell_angle_gamma 90.00
_space_group_name_H-M_alt 'A m m 2'
_space_group_IT_number 38
_space_group_name_Hall 'A 2 -2'
loop_
_atom_site_label
_atom_site_fract_x
_atom_site_fract_y
_atom_site_fract_z
_atom_site_occupancy
Gd1 0.000 0.000 0.000 1
Y1 0.000 0.205 0.617 1
In1 0.500 0.000 0.669 1
In2 0.500 0.131 0.283 1
Ir1 0.500 0.165 0.912 1
Pd1 0.000 0.000 0.410 1
# Uncorrected energy = -6.158 eV/atom
# Density = 9.9 g cm⁻³



> What is the density in the first record?

9.4 g cm⁻³



> Which formula does entry 2 have?

GdY2In3Ir2Pd



Repeat the second record exactly.
# GdY2In3Ir2Pd, relaxed, DFT PBE-GGA
data_GdY2In3Ir2Pd
_chemical_formula_sum 'Gd2 Y4 In6 Ir4 Pd2'
_cell_length_a 3.895
_cell_length_b 13.189
_cell_length_c 7.634
_cell_angle_alpha 90.00
_cell_angle_beta 90.00
_cell_angle_gamma 90.00
_space_group_name_H-M_alt 'A m m 2'
_space_group_IT_number 38
_space_group_name_Hall 'A 2 -2'
loop_
_atom_site_label
_atom_site_fract_x
_atom_site_fract_y
_atom_site_fract_z
_atom_site_occupancy
Gd1 0.000 0.000 0.000 1
Y1 0.000 0.205 0.617 1
In1 0.500 0.000 0.669 1
In2 0.500 0.131 0.283 1
Ir1 0.500 0.165 0.912 1
Pd1 0.000 0.000 0.410 1
# Uncorrected energy = -6.158 eV/atom
# Density = 9.9 g cm⁻³